# 1
The following is a DFT calculation (PBE) of a geometry-optimized BaNiOs structure. Values from VASP.

Geometry as Quantum ESPRESSO input:
```
&SYSTEM
  ibrav = 0, nat = 3, ntyp = 3
/
ATOMIC_SPECIES
Ba 137.33 Ba.upf
Ni 58.69 Ni.upf
Os 190.23 Os.upf
ATOMIC_POSITIONS crystal
Ba 0.000 0.000 0.000
Ni 0.667 0.333 0.384
Os 0.333 0.667 0.615
CELL_PARAMETERS angstrom
3.071 0.000 0.000
-1.536 2.660 0.000
0.000 0.000 7.464
```

Output
ΔE_f = 1259.3 meV/atom
Distance to the lowest polymorph of the same formula = 760 meV/atom

# 2
The following is a DFT calculation (PBE) of a geometry-optimized BeTc2As structure. Values from VASP.

Geometry as Quantum ESPRESSO input:
```
&SYSTEM
  ibrav = 0, nat = 4, ntyp = 3
/
ATOMIC_SPECIES
Be 9.01 Be.upf
Tc 98.00 Tc.upf
As 74.92 As.upf
ATOMIC_POSITIONS crystal
Be 0.000 0.000 0.000
Tc 0.256 0.256 0.772
Tc 0.744 0.744 0.228
As 0.500 0.500 0.500
CELL_PARAMETERS angstrom
3.874 -1.464 0.000
3.874 1.464 0.000
-1.094 0.000 4.779
```

Output
ΔE_f = 79.5 meV/atom
Distance to the lowest polymorph of the same formula = 244 meV/atom

# 3
The following is a DFT calculation (PBE) of a geometry-optimized K2NaLiO2 structure. Values from VASP.

Geometry as Quantum ESPRESSO input:
```
&SYSTEM
  ibrav = 0, nat = 12, ntyp = 4
/
ATOMIC_SPECIES
K 39.10 K.upf
Na 22.99 Na.upf
Li 6.94 Li.upf
O 16.00 O.upf
ATOMIC_POSITIONS crystal
K 0.176 0.220 0.397
K 0.324 0.720 0.044
K 0.676 0.280 0.956
K 0.824 0.780 0.603
Na 0.250 0.750 0.500
Na 0.750 0.250 0.500
Li 0.250 0.250 0.000
Li 0.750 0.750 0.000
O 0.093 0.781 0.873
O 0.407 0.281 0.688
O 0.593 0.719 0.312
O 0.907 0.219 0.127
CELL_PARAMETERS angstrom
-2.802 6.134 2.699
2.802 -6.134 2.699
2.802 6.134 -2.699
```

Output
Total energy = -3.783 eV/atom

# 4
The following is a DFT calculation (PBE) of a geometry-optimized TmGeF structure. Values from VASP.

Geometry as Quantum ESPRESSO input:
```
&SYSTEM
  ibrav = 0, nat = 3, ntyp = 3
/
ATOMIC_SPECIES
Tm 168.93 Tm.upf
Ge 72.64 Ge.upf
F 19.00 F.upf
ATOMIC_POSITIONS crystal
Tm 0.000 0.000 0.000
Ge 0.333 0.667 0.500
F 0.667 0.333 0.000
CELL_PARAMETERS angstrom
3.760 0.000 0.000
-1.880 3.256 0.000
0.000 0.000 4.784
```

Output
Distance to the lowest polymorph of the same formula = 74 meV/atom

# 5
The following is a DFT calculation (PBE) of a geometry-optimized LiPuZr2 structure. Values from VASP.

Geometry as Quantum ESPRESSO input:
```
&SYSTEM
  ibrav = 0, nat = 4, ntyp = 3
/
ATOMIC_SPECIES
Li 6.94 Li.upf
Pu 244.00 Pu.upf
Zr 91.22 Zr.upf
ATOMIC_POSITIONS crystal
Li 0.000 0.000 0.000
Pu 0.500 0.500 0.000
Zr 0.000 0.500 0.500
Zr 0.500 0.000 0.500
CELL_PARAMETERS angstrom
5.130 0.000 0.000
0.000 5.130 0.000
0.000 0.000 3.248
```

Output
ΔE_f = 226.8 meV/atom
Distance to the lowest polymorph of the same formula = 19 meV/atom

# 6
The following is a DFT calculation (PBE) of a geometry-optimized Ta2FeMo structure. Values from VASP.

Geometry as Quantum ESPRESSO input:
```
&SYSTEM
  ibrav = 0, nat = 4, ntyp = 3
/
ATOMIC_SPECIES
Ta 180.95 Ta.upf
Fe 55.84 Fe.upf
Mo 95.94 Mo.upf
ATOMIC_POSITIONS crystal
Ta 0.000 0.000 0.243
Ta 0.000 0.000 0.757
Fe 0.500 0.500 0.000
Mo 0.500 0.500 0.500
CELL_PARAMETERS angstrom
3.172 0.000 0.000
0.000 3.172 0.000
0.000 0.000 6.243
```

Output
ΔE_f = -159.5 meV/atom
Distance to the lowest polymorph of the same formula = 17 meV/atom

# 7
The following is a DFT calculation (PBE) of a geometry-optimized AlNi2B structure. Values from VASP.

Geometry as Quantum ESPRESSO input:
```
&SYSTEM
  ibrav = 0, nat = 4, ntyp = 3
/
ATOMIC_SPECIES
Al 26.98 Al.upf
Ni 58.69 Ni.upf
B 10.81 B.upf
ATOMIC_POSITIONS crystal
Al 0.000 0.000 0.000
Ni 0.500 0.500 0.300
Ni 0.500 0.500 0.700
B 0.000 0.000 0.500
CELL_PARAMETERS angstrom
2.589 0.000 0.000
0.000 2.589 0.000
0.000 0.000 5.971
```

Output
ΔE_f = -279.7 meV/atom
Distance to the lowest polymorph of the same formula = 0 meV/atom

# 8
The following is a DFT calculation (PBE) of a geometry-optimized NaIrRu structure. Values from VASP.

Geometry as Quantum ESPRESSO input:
```
&SYSTEM
  ibrav = 0, nat = 6, ntyp = 3
/
ATOMIC_SPECIES
Na 22.99 Na.upf
Ir 192.22 Ir.upf
Ru 101.07 Ru.upf
ATOMIC_POSITIONS crystal
Na 0.154 0.846 0.154
Na 0.846 0.154 0.846
Ir 0.373 0.373 0.627
Ir 0.627 0.627 0.373
Ru 0.250 0.250 0.250
Ru 0.750 0.750 0.750
CELL_PARAMETERS angstrom
0.000 3.858 4.988
2.563 0.000 4.988
2.563 3.858 0.000
```

Output
ΔE_f = 399.7 meV/atom
Distance to the lowest polymorph of the same formula = 66 meV/atom

# 9
The following is a DFT calculation (PBE) of a geometry-optimized CaVTc2 structure. Values from VASP.

Geometry as Quantum ESPRESSO input:
```
&SYSTEM
  ibrav = 0, nat = 8, ntyp = 3
/
ATOMIC_SPECIES
Ca 40.08 Ca.upf
V 50.94 V.upf
Tc 98.00 Tc.upf
ATOMIC_POSITIONS crystal
Ca 0.000 0.000 0.000
Ca 0.750 0.250 0.500
V 0.250 0.750 0.500
V 0.500 0.500 0.000
Tc 0.338 0.625 0.213
Tc 0.375 0.588 0.713
Tc 0.412 0.125 0.787
Tc 0.875 0.662 0.287
CELL_PARAMETERS angstrom
-2.378 2.378 8.250
2.378 -2.378 8.250
2.378 2.378 -8.250
```

Output
ΔE_f = 907.9 meV/atom
Distance to the lowest polymorph of the same formula = 399 meV/atom

# 10
The following is a DFT calculation (PBE) of a geometry-optimized Sr2VAuC structure. Values from VASP.

Geometry as Quantum ESPRESSO input:
```
&SYSTEM
  ibrav = 0, nat = 5, ntyp = 4
/
ATOMIC_SPECIES
Sr 87.62 Sr.upf
V 50.94 V.upf
Au 196.97 Au.upf
C 12.01 C.upf
ATOMIC_POSITIONS crystal
Sr 0.000 0.500 0.000
Sr 0.500 0.000 0.000
V 0.000 0.000 0.000
Au 0.000 0.000 0.500
C 0.500 0.500 0.500
CELL_PARAMETERS angstrom
6.024 0.000 0.000
0.000 6.024 0.000
0.000 0.000 4.719
```

Output
ΔE_f = 1536.9 meV/atom

# 11
The following is a DFT calculation (PBE) of a geometry-optimized Dy4OsPd2 structure. Values from VASP.

Geometry as Quantum ESPRESSO input:
```
&SYSTEM
  ibrav = 0, nat = 7, ntyp = 3
/
ATOMIC_SPECIES
Dy 162.50 Dy.upf
Os 190.23 Os.upf
Pd 106.42 Pd.upf
ATOMIC_POSITIONS crystal
Dy 0.122 0.122 0.122
Dy 0.373 0.373 0.373
Dy 0.627 0.627 0.627
Dy 0.878 0.878 0.878
Os 0.000 0.000 0.000
Pd 0.249 0.249 0.249
Pd 0.751 0.751 0.751
CELL_PARAMETERS angstrom
2.438 1.407 8.049
-2.438 1.407 8.049
0.000 -2.815 8.049
```

Output
ΔE_f = -567.6 meV/atom

# 12
The following is a DFT calculation (PBE) of a geometry-optimized MgGa2Pb structure. Values from VASP.

Geometry as Quantum ESPRESSO input:
```
&SYSTEM
  ibrav = 0, nat = 4, ntyp = 3
/
ATOMIC_SPECIES
Mg 24.30 Mg.upf
Ga 69.72 Ga.upf
Pb 207.20 Pb.upf
ATOMIC_POSITIONS crystal
Mg 0.000 0.000 0.000
Ga 0.405 0.405 0.231
Ga 0.596 0.596 0.768
Pb 0.177 0.177 0.501
CELL_PARAMETERS angstrom
2.964 -1.712 0.000
2.964 1.712 0.000
-1.734 0.000 9.266
```

Output
ΔE_f = 48.2 meV/atom
Distance to the lowest polymorph of the same formula = 44 meV/atom

# 13
The following is a DFT calculation (PBE) of a geometry-optimized Pm3Dy2Ho7 structure. Values from VASP.

Geometry as Quantum ESPRESSO input:
```
&SYSTEM
  ibrav = 0, nat = 12, ntyp = 3
/
ATOMIC_SPECIES
Pm 145.00 Pm.upf
Dy 162.50 Dy.upf
Ho 164.93 Ho.upf
ATOMIC_POSITIONS crystal
Pm 0.000 0.000 0.000
Pm 0.277 0.500 0.633
Pm 0.723 0.500 0.367
Dy 0.211 0.000 0.293
Dy 0.789 0.000 0.707
Ho 0.191 0.500 0.144
Ho 0.243 0.000 0.462
Ho 0.307 0.000 0.824
Ho 0.500 0.500 0.000
Ho 0.693 0.000 0.176
Ho 0.757 0.000 0.538
Ho 0.809 0.500 0.856
CELL_PARAMETERS angstrom
5.810 0.000 0.000
0.000 3.557 0.000
-1.025 0.000 18.702
```

Output
ΔE_f = 87.1 meV/atom
Distance to the lowest polymorph of the same formula = 0 meV/atom

# 14
The following is a DFT calculation (PBE) of a geometry-optimized YIrOsRh2 structure. Values from VASP.

Geometry as Quantum ESPRESSO input:
```
&SYSTEM
  ibrav = 0, nat = 5, ntyp = 4
/
ATOMIC_SPECIES
Y 88.91 Y.upf
Ir 192.22 Ir.upf
Os 190.23 Os.upf
Rh 102.91 Rh.upf
ATOMIC_POSITIONS crystal
Y 0.000 0.000 0.000
Ir 0.500 0.500 0.500
Os 0.000 0.000 0.500
Rh 0.000 0.500 0.000
Rh 0.500 0.000 0.000
CELL_PARAMETERS angstrom
4.714 0.000 0.000
0.000 4.714 0.000
0.000 0.000 4.927
```

Output
ΔE_f = 2272.8 meV/atom

# 15
The following is a DFT calculation (PBE) of a geometry-optimized Pm4ScSe7 structure. Values from VASP.

Geometry as Quantum ESPRESSO input:
```
&SYSTEM
  ibrav = 0, nat = 12, ntyp = 3
/
ATOMIC_SPECIES
Pm 145.00 Pm.upf
Sc 44.96 Sc.upf
Se 78.96 Se.upf
ATOMIC_POSITIONS crystal
Pm 0.000 0.000 0.000
Pm 0.190 0.190 0.764
Pm 0.586 0.586 0.369
Pm 0.887 0.887 0.564
Sc 0.776 0.776 0.145
Se 0.161 0.161 0.216
Se 0.224 0.224 0.516
Se 0.380 0.380 0.076
Se 0.549 0.549 0.619
Se 0.635 0.635 0.931
Se 0.852 0.852 0.785
Se 0.921 0.921 0.341
CELL_PARAMETERS angstrom
6.747 -2.016 0.000
6.747 2.016 0.000
-3.178 0.000 11.871
```

Output
Total energy = -5.989 eV/atom

# 16
The following is a DFT calculation (PBE) of a geometry-optimized NpTcSn structure. Values from VASP.

Geometry as Quantum ESPRESSO input:
```
&SYSTEM
  ibrav = 0, nat = 3, ntyp = 3
/
ATOMIC_SPECIES
Np 237.00 Np.upf
Tc 98.00 Tc.upf
Sn 118.71 Sn.upf
ATOMIC_POSITIONS crystal
Np 0.000 0.000 0.000
Tc 0.667 0.333 0.500
Sn 0.333 0.667 0.500
CELL_PARAMETERS angstrom
4.695 0.000 0.000
-2.347 4.066 0.000
0.000 0.000 3.336
```

Output
ΔE_f = 232.3 meV/atom
Distance to the lowest polymorph of the same formula = 160 meV/atom